4
Lattice="3.3661 0.0000 0.0000 1.6831 2.9151 0.0000 1.6831 0.9717 5.9189" Properties=species:S:1:pos:R:3 comment="PBE CaNpO2, optimized geometry" n_ef_per_ev_fu=7.2 final_energy_ev_per_atom=-8.66 pbc="T T T"
Ca 0.0000 0.0000 0.0000
O 5.0492 2.9151 4.5216
O 1.6831 0.9717 1.3973
Np 3.3661 1.9434 2.9595